Below is a relaxed Cd2RhAu crystal, with properties calculated at the PBEsol level.

The calculation puts the total energy at -15.2 eV per cell. For the volume, the calculation gives 67.25 Å³ per cell. The density is 12.96 Mg/m³. The space group is P4/mmm (123). The energy of formation from the pure elements is -184 meV per atom. The value obtained for the density of states at the Fermi level is 0.79 states/eV/cell.

Cell lengths 4.173, 4.173, 3.861 Å; angles 90.00, 90.00, 90.00 degrees
Element x y z (fractional)
Cd1 0.000 0.500 0.000
Cd2 0.500 0.000 0.000
Rh1 0.000 0.000 0.500
Au1 0.500 0.500 0.500